[1]
This record from Alexandria via LeMat-Bulk describes a geometry-optimized NaOsSe2N structure. The functional is PBE-GGA.

Cell lengths 5.0262, 5.0262, 3.9363 Å; angles 90.00, 90.00, 90.00 degrees
Site moments in Bohr magnetons follow the coordinates.
Fractional positions:
Se 0.0000 0.5000 0.0000  0.12
Se 0.5000 0.0000 0.0000  0.12
Os 0.5000 0.5000 0.5000  1.96
Na 0.0000 0.0000 0.0000  0.05
N 0.0000 0.0000 0.5000  1.60

Results
ΔE_f (raw): 2.13 eV per atom
Relative energy among the computed polymorphs: 2063 meV/atom
Calculated volume: 19.89 A^3/atom

***

[2]
This record from Alexandria via LeMat-Bulk describes a geometry-optimized NaTeOsN2 structure. The functional is PBE-GGA.

Cell lengths 3.8902, 3.8902, 5.7910 Å; angles 90.00, 90.00, 90.00 degrees
Site moments in Bohr magnetons follow the coordinates.
Fractional positions:
N 0.5000 0.0000 0.0000  0.11
N 0.0000 0.5000 0.0000  0.11
Te 0.0000 0.0000 0.5000  0.00
Na 0.5000 0.5000 0.5000  0.00
Os 0.0000 0.0000 0.0000  -0.05

Results
ΔE_f (raw): 0.45 eV per atom
Relative energy among the computed polymorphs: 0 meV/atom
Calculated volume: 17.53 A^3/atom

***

[3]
This record from Alexandria via LeMat-Bulk describes a geometry-optimized NaTeOsN2 structure. The functional is PBE-GGA.

Cell lengths 4.0196, 4.0196, 5.2390 Å; angles 90.00, 90.00, 90.00 degrees
Fractional positions:
Os 0.5000 0.5000 0.5000
N 0.5000 0.0000 0.0000
N 0.0000 0.5000 0.0000
Na 0.0000 0.0000 0.0000
Te 0.0000 0.0000 0.5000

Results
ΔE_f (raw): 2.85 eV per atom
Relative energy among the computed polymorphs: 2400 meV/atom
Calculated volume: 16.93 A^3/atom

***

[4]
This record from Alexandria via LeMat-Bulk describes a geometry-optimized NaTh2OsN4 structure. The functional is PBE-GGA.

Cell lengths 3.6594, 6.5047, 12.5673 Å; angles 90.00, 90.00, 106.34 degrees
Fractional positions:
N 0.2504 0.5008 0.0956
N 0.0000 0.0000 0.5000
N 0.3487 0.6975 0.7500
N 0.2504 0.5008 0.4044
N 0.0000 0.0000 0.0000
N 0.6513 0.3025 0.2500
N 0.7496 0.4992 0.5956
N 0.7496 0.4992 0.9044
Na 0.0754 0.1509 0.7500
Na 0.9246 0.8491 0.2500
Os 0.2146 0.4291 0.2500
Os 0.7854 0.5709 0.7500
Th 0.6321 0.2642 0.0530
Th 0.3679 0.7358 0.5530
Th 0.6321 0.2642 0.4470
Th 0.3679 0.7358 0.9470

Results
ΔE_f (raw): -0.78 eV per atom
Calculated volume: 17.94 A^3/atom

***

[5]
This record from Alexandria via LeMat-Bulk describes a geometry-optimized NaTiOs2N structure. The functional is PBE-GGA.

Cell lengths 4.0202, 4.3422, 4.0202 Å; angles 90.00, 90.00, 90.00 degrees
Fractional positions:
Os 0.0000 0.0000 0.5000
Os 0.5000 0.0000 0.0000
Na 0.0000 0.5000 0.0000
N 0.0000 0.0000 0.0000
Ti 0.5000 0.5000 0.5000

Results
ΔE_f (raw): 0.44 eV per atom
Calculated volume: 14.04 A^3/atom

***

[6]
This record from Alexandria via LeMat-Bulk describes a geometry-optimized Na3U3OsN8 structure. The functional is PBE-GGA.

Cell lengths 6.7376, 6.7376, 6.8876 Å; angles 119.29, 90.00, 120.00 degrees
Site moments in Bohr magnetons follow the coordinates.
Fractional positions:
N 0.2244 0.9527 0.6770  0.04
N 0.7302 0.4604 0.6905  0.01
N 0.2717 0.0473 0.3230  0.04
N 0.2244 0.4487 0.6770  0.04
N 0.7283 0.9527 0.6770  0.04
N 0.7756 0.5513 0.3230  0.04
N 0.7756 0.0473 0.3230  0.04
N 0.2698 0.5396 0.3095  0.01
Na 0.0000 0.0000 0.0000  0.00
Na 0.5000 0.5000 0.0000  0.00
Na 0.0000 0.5000 0.0000  0.00
U 0.5000 0.5000 0.5000  -0.04
U 0.5000 0.0000 0.5000  -0.04
U 0.0000 0.5000 0.5000  -0.04
Os 0.0000 0.0000 0.5000  0.81

Results
ΔE_f (raw): -0.70 eV per atom
Calculated volume: 14.89 A^3/atom

***

[7]
This record from Alexandria via LeMat-Bulk describes a geometry-optimized Na6PN4 structure. The functional is PBE-GGA.

Cell lengths 5.8313, 7.2268, 7.2268 Å; angles 90.00, 90.00, 90.00 degrees
Site moments in Bohr magnetons follow the coordinates.
Fractional positions:
Na 0.1851 0.0000 0.5000  0.00
Na 0.5000 0.7038 0.2962  0.00
Na 0.5000 0.7038 0.7038  0.00
Na 0.0000 0.2038 0.7962  0.00
Na 0.6851 0.0000 0.5000  0.00
Na 0.5000 0.2962 0.7038  0.00
Na 0.5000 0.2962 0.2962  0.00
Na 0.0000 0.7962 0.7962  0.00
Na 0.8149 0.5000 0.0000  0.00
Na 0.3149 0.5000 0.0000  0.00
Na 0.0000 0.7962 0.2038  0.00
Na 0.0000 0.2038 0.2038  0.00
N 0.1576 0.5000 0.6971  0.18
N 0.6576 0.8029 0.0000  0.18
N 0.6576 0.1971 0.0000  0.18
N 0.8424 0.6971 0.5000  0.18
N 0.8424 0.3029 0.5000  0.18
N 0.1576 0.5000 0.3029  0.18
N 0.3424 0.0000 0.8029  0.18
N 0.3424 0.0000 0.1971  0.18
P 0.5000 0.0000 0.0000  -0.02
P 0.0000 0.5000 0.5000  -0.02

Results
ΔE_f (raw): -0.09 eV per atom
Calculated volume: 13.84 A^3/atom

***

[8]
This record from Alexandria via LeMat-Bulk describes a geometry-optimized Na2PN2 structure. The functional is PBE-GGA.

Cell lengths 2.9025, 7.9222, 6.3333 Å; angles 90.00, 103.25, 90.00 degrees
Fractional positions:
Na 0.9445 0.7306 0.8889
Na 0.1601 0.8921 0.3202
Na 0.0555 0.2306 0.1111
Na 0.8399 0.3921 0.6798
N 0.5140 0.9801 0.0280
N 0.8160 0.9921 0.6320
N 0.4860 0.4801 0.9720
N 0.1840 0.4921 0.3680
P 0.6081 0.5395 0.2161
P 0.3919 0.0395 0.7839

Results
ΔE_f (raw): -0.13 eV per atom
Relative energy among the computed polymorphs: 47 meV/atom
Calculated volume: 14.18 A^3/atom

***

[9]
This record from Alexandria via LeMat-Bulk describes a geometry-optimized Na3PN structure. The functional is PBE-GGA.

Cell lengths 4.7035, 4.7035, 4.7035 Å; angles 90.00, 90.00, 90.00 degrees
Site moments in Bohr magnetons follow the coordinates.
Fractional positions:
N 0.0000 0.0000 0.0000  0.96
Na 0.0000 0.0000 0.5000  0.00
Na 0.0000 0.5000 0.0000  0.00
Na 0.5000 0.0000 0.0000  0.00
P 0.5000 0.5000 0.5000  0.64

Results
ΔE_f (raw): 0.44 eV per atom
Relative energy among the computed polymorphs: 0 meV/atom
Calculated volume: 20.81 A^3/atom

***

[10]
This record from Alexandria via LeMat-Bulk describes a geometry-optimized Na2PN structure. The functional is PBE-GGA.

Cell lengths 9.8572, 9.8572, 7.1996 Å; angles 46.80, 46.80, 90.00 degrees
Site moments in Bohr magnetons follow the coordinates.
Fractional positions:
P 0.7500 0.2500 0.5000  0.01
P 0.0000 0.0000 0.0000  0.01
N 0.2500 0.7500 0.5000  0.11
N 0.5000 0.5000 0.0000  0.11
Na 0.4171 0.1250 0.2500  0.01
Na 0.3750 0.5829 0.7500  0.01
Na 0.3329 0.6250 0.2500  0.01
Na 0.8750 0.6671 0.7500  0.01

Results
ΔE_f (raw): 0.15 eV per atom
Relative energy among the computed polymorphs: 0 meV/atom
Calculated volume: 21.90 A^3/atom

***

[11]
This record from Alexandria via LeMat-Bulk describes a geometry-optimized NaP2N3 structure. The functional is PBE-GGA.

Cell lengths 3.8156, 4.6371, 7.4925 Å; angles 78.05, 90.00, 90.00 degrees
Fractional positions:
N 0.2500 0.0358 0.9114
N 0.2500 0.4464 0.5920
N 0.2500 0.2767 0.2338
N 0.7500 0.5536 0.4080
N 0.7500 0.9642 0.0886
N 0.7500 0.7233 0.7662
P 0.2500 0.5163 0.3671
P 0.7500 0.4837 0.6329
P 0.2500 0.9820 0.1450
P 0.7500 0.0180 0.8550
Na 0.2500 0.5410 0.8845
Na 0.7500 0.4590 0.1155

Results
ΔE_f (raw): 0.06 eV per atom
Calculated volume: 10.81 A^3/atom

***

[12]
This record from Alexandria via LeMat-Bulk describes a geometry-optimized Na2PN structure. The functional is PBE-GGA.

Cell lengths 4.5048, 4.5048, 4.5048 Å; angles 60.00, 60.00, 60.00 degrees
Fractional positions:
Na 0.2500 0.2500 0.2500
Na 0.7500 0.7500 0.7500
P 0.5000 0.5000 0.5000
N 0.0000 0.0000 0.0000

Results
ΔE_f (raw): 0.90 eV per atom
Relative energy among the computed polymorphs: 746 meV/atom
Calculated volume: 16.16 A^3/atom

***

[13]
This record from Alexandria via LeMat-Bulk describes a geometry-optimized NaPN3 structure. The functional is PBE-GGA.

Cell lengths 3.5055, 3.5055, 3.5055 Å; angles 90.00, 90.00, 90.00 degrees
Site moments in Bohr magnetons follow the coordinates.
Fractional positions:
N 0.0000 0.0000 0.5000  0.14
N 0.0000 0.5000 0.0000  0.14
N 0.5000 0.0000 0.0000  0.09
P 0.0000 0.0000 0.0000  -0.01
Na 0.5000 0.5000 0.5000  0.00

Results
ΔE_f (raw): 0.78 eV per atom
Calculated volume: 8.62 A^3/atom

***

[14]
This record from Alexandria via LeMat-Bulk describes a geometry-optimized Na3PN4 structure. The functional is PBE-GGA.

Cell lengths 5.3219, 5.3219, 5.3219 Å; angles 98.96, 114.97, 114.97 degrees
Site moments in Bohr magnetons follow the coordinates.
Fractional positions:
Na 0.5000 0.7500 0.2500  0.00
Na 0.0000 0.0000 0.0000  0.00
Na 0.5000 0.2500 0.7500  0.00
N 0.5919 0.2960 0.2960  0.36
N 0.4081 0.7040 0.7040  0.36
N 0.0000 0.2960 0.7040  0.36
N 0.0000 0.7040 0.2960  0.36
P 0.0000 0.5000 0.5000  -0.03

Results
ΔE_f (raw): 0.41 eV per atom
Calculated volume: 14.15 A^3/atom

***

[15]
This record from Alexandria via LeMat-Bulk describes a geometry-optimized NaP4N7 structure. The functional is PBE-GGA.

Cell lengths 4.6740, 4.9593, 12.1868 Å; angles 90.00, 90.00, 90.00 degrees
Fractional positions:
P 0.5908 0.6707 0.8817
P 0.0908 0.3293 0.3817
P 0.5633 0.1781 0.2515
P 0.0908 0.3293 0.6183
P 0.5908 0.6707 0.1183
P 0.5633 0.1781 0.7485
P 0.0633 0.8219 0.7515
P 0.0633 0.8219 0.2485
Na 0.6600 0.8563 0.5000
Na 0.1600 0.1437 0.0000
N 0.4223 0.2497 0.6336
N 0.9770 0.2456 0.5000
N 0.9223 0.7503 0.1336
N 0.5140 0.3611 0.1457
N 0.4770 0.7544 0.0000
N 0.5140 0.3611 0.8543
N 0.4186 0.8732 0.7845
N 0.9186 0.1268 0.2845
N 0.9186 0.1268 0.7155
N 0.4186 0.8732 0.2155
N 0.9223 0.7503 0.8664
N 0.4223 0.2497 0.3664
N 0.0140 0.6389 0.3543
N 0.0140 0.6389 0.6457

Results
ΔE_f (raw): -0.46 eV per atom
Calculated volume: 11.77 A^3/atom

***

[16]
This record from Alexandria via LeMat-Bulk describes a geometry-optimized Na2P2N3 structure. The functional is PBE-GGA.

Cell lengths 2.7688, 5.2956, 5.8618 Å; angles 82.39, 103.66, 90.00 degrees
Fractional positions:
P 0.9486 0.7247 0.8971
P 0.0514 0.2753 0.1029
Na 0.6762 0.7705 0.3524
Na 0.3238 0.2295 0.6476
N 0.3593 0.7170 0.7185
N 0.0000 0.0000 0.0000
N 0.6407 0.2830 0.2815

Results
ΔE_f (raw): -0.25 eV per atom
Calculated volume: 11.82 A^3/atom

***

[17]
This record from Alexandria via LeMat-Bulk describes a geometry-optimized NaPN3 structure. The functional is PBE-GGA.

Cell lengths 4.1926, 4.1926, 4.1926 Å; angles 90.00, 90.00, 90.00 degrees
Site moments in Bohr magnetons follow the coordinates.
Fractional positions:
N 0.0000 0.5000 0.0000  1.48
N 0.5000 0.0000 0.0000  1.42
N 0.0000 0.0000 0.5000  1.40
Na 0.0000 0.0000 0.0000  0.05
P 0.5000 0.5000 0.5000  -0.59

Results
ΔE_f (raw): 3.00 eV per atom
Calculated volume: 14.74 A^3/atom

***

[18]
This record from Alexandria via LeMat-Bulk describes a geometry-optimized Na3P6N11 structure. The functional is PBE-GGA.

Cell lengths 10.1921, 10.1921, 10.1921 Å; angles 90.00, 90.00, 90.00 degrees
Fractional positions:
P 0.6886 0.4254 0.2336
P 0.9373 0.0163 0.1742
P 0.5746 0.7336 0.8114
P 0.8114 0.5746 0.7336
P 0.5627 0.9837 0.6742
P 0.1886 0.0746 0.7664
P 0.4254 0.2336 0.6886
P 0.0746 0.7664 0.1886
P 0.8258 0.4373 0.4837
P 0.6742 0.5627 0.9837
P 0.2336 0.6886 0.4254
P 0.4373 0.4837 0.8258
P 0.3258 0.0627 0.5163
P 0.3114 0.9254 0.2664
P 0.9837 0.6742 0.5627
P 0.0627 0.5163 0.3258
P 0.7664 0.1886 0.0746
P 0.2664 0.3114 0.9254
P 0.4837 0.8258 0.4373
P 0.1742 0.9373 0.0163
P 0.7336 0.8114 0.5746
P 0.0163 0.1742 0.9373
P 0.9254 0.2664 0.3114
P 0.5163 0.3258 0.0627
Na 0.8746 0.8746 0.8746
Na 0.5288 0.5288 0.5288
Na 0.7207 0.2793 0.7793
Na 0.9712 0.4712 0.0288
Na 0.1254 0.3746 0.6254
Na 0.6254 0.1254 0.3746
Na 0.7793 0.7207 0.2793
Na 0.0288 0.9712 0.4712
Na 0.3746 0.6254 0.1254
Na 0.2207 0.2207 0.2207
Na 0.4712 0.0288 0.9712
Na 0.2793 0.7793 0.7207
N 0.3712 0.2720 0.0384
N 0.0210 0.6214 0.2138
N 0.6288 0.7720 0.4616
N 0.1288 0.7280 0.5384
N 0.0363 0.0363 0.0363
N 0.7720 0.4616 0.6288
N 0.6214 0.2138 0.0210
N 0.1250 0.7874 0.0388
N 0.8786 0.7862 0.5210
N 0.7862 0.5210 0.8786
N 0.5363 0.4637 0.9637
N 0.2280 0.9616 0.8712
N 0.4612 0.8750 0.2874
N 0.5210 0.8786 0.7862
N 0.6250 0.7126 0.9612
N 0.9616 0.8712 0.2280
N 0.1214 0.2862 0.9790
N 0.2885 0.2115 0.7885
N 0.8750 0.2874 0.4612
N 0.9790 0.1214 0.2862
N 0.2720 0.0384 0.3712
N 0.2862 0.9790 0.1214
N 0.7885 0.2885 0.2115
N 0.7126 0.9612 0.6250
N 0.7280 0.5384 0.1288
N 0.2874 0.4612 0.8750
N 0.5384 0.1288 0.7280
N 0.7138 0.4790 0.3786
N 0.2115 0.7885 0.2885
N 0.0388 0.1250 0.7874
N 0.2126 0.5388 0.3750
N 0.7115 0.7115 0.7115
N 0.3750 0.2126 0.5388
N 0.3786 0.7138 0.4790
N 0.5388 0.3750 0.2126
N 0.7874 0.0388 0.1250
N 0.8712 0.2280 0.9616
N 0.4616 0.6288 0.7720
N 0.9612 0.6250 0.7126
N 0.2138 0.0210 0.6214
N 0.0384 0.3712 0.2720
N 0.4637 0.9637 0.5363
N 0.4790 0.3786 0.7138
N 0.9637 0.5363 0.4637

Results
ΔE_f (raw): -0.57 eV per atom
Calculated volume: 13.23 A^3/atom

***

[19]
This record from Alexandria via LeMat-Bulk describes a geometry-optimized Na2PN2 structure. The functional is PBE-GGA.

Cell lengths 5.0406, 6.0709, 6.4159 Å; angles 65.73, 66.87, 65.47 degrees
Site moments in Bohr magnetons follow the coordinates.
Fractional positions:
N 0.5162 0.8024 0.1652  -0.01
N 0.7949 0.7453 0.6649  0.10
N 0.2051 0.2547 0.3351  0.10
N 0.4838 0.1976 0.8348  -0.01
P 0.3714 0.1202 0.1369  0.08
P 0.6286 0.8798 0.8631  0.08
Na 0.3201 0.7307 0.6291  0.00
Na 0.6799 0.2693 0.3709  0.00
Na 0.9797 0.2895 0.7512  0.00
Na 0.0203 0.7105 0.2488  0.00

Results
ΔE_f (raw): -0.18 eV per atom
Relative energy among the computed polymorphs: 0 meV/atom
Calculated volume: 15.69 A^3/atom

***

[20]
This record from Alexandria via LeMat-Bulk describes a geometry-optimized NaP2N structure. The functional is PBE-GGA.

Cell lengths 4.3895, 4.3895, 7.1973 Å; angles 72.25, 72.25, 90.00 degrees
Fractional positions:
Na 0.7500 0.2500 0.5000
Na 0.0000 0.0000 0.0000
P 0.2881 0.6250 0.2500
P 0.4619 0.1250 0.2500
P 0.3750 0.5381 0.7500
P 0.8750 0.7119 0.7500
N 0.2500 0.7500 0.5000
N 0.5000 0.5000 0.0000

Results
ΔE_f (raw): 0.41 eV per atom
Calculated volume: 15.64 A^3/atom

***

Here are the calculated spin magnetization numbers, same order: 4.8; 0.3; 0.0; 0.0; 0.0; 1.0; 2.1; 0.0; 3.0; 0.9; 0.0; 0.0; 0.5; 2.0; 0.0; 0.0; 5.0; 0.0; 0.7; 0.0 (μB/cell).